[1]
Here is crystalline NiAgAu at its relaxed geometry from the Alexandria database. Energies are from PBE-GGA.

```
NiAgAu
1.0
2.987 0.000 0.000
0.000 2.987 0.000
0.000 0.000 10.560
Ni Ag Au
2 2 2
direct
0.250 0.250 0.056
0.750 0.750 0.944
0.250 0.250 0.404
0.750 0.750 0.596
0.250 0.250 0.788
0.750 0.750 0.212
```

Summary:
calculated volume	15.7	Å³ per atom
energy above the lowest structure with this stoichiometry	0	meV/atom
formation enthalpy at 0 K	0.05	eV/atom
uncorrected energy	-3.92	eV/atom
SG	P4/nmm (129)

***

[2]
Here is crystalline Rb2SmGeSe4 at its relaxed geometry from the Alexandria database. Energies are from PBE-GGA.

```
Rb2SmGeSe4
1.0
-4.412 4.424 6.266
4.412 -4.424 6.266
4.412 4.424 -6.266
Rb Sm Ge Se
4 2 2 8
direct
0.000 0.000 0.000
0.500 0.000 0.000
0.500 0.000 0.500
0.500 0.500 0.500
0.000 0.500 0.500
0.500 0.500 0.000
0.000 0.000 0.500
0.000 0.500 0.000
0.188 0.735 0.453
0.217 0.265 0.953
0.228 0.258 0.530
0.228 0.699 0.970
0.772 0.301 0.030
0.772 0.742 0.470
0.783 0.735 0.047
0.812 0.265 0.547
```

Summary:
calculated volume	30.6	Å³ per atom
E_form (uncorrected)	-1.038	eV per atom
uncorrected energy	-4.19	eV/atom
SG	Imma (74)

***

[3]
Here is crystalline Mg2Si4Ni3 at its relaxed geometry from the Alexandria database. Energies are from PBE-GGA.

```
Mg2Si4Ni3
1.0
0.000 4.311 5.697
2.547 0.000 5.697
2.547 4.311 0.000
Mg Si Ni
2 4 3
direct
0.125 0.125 0.875
0.875 0.875 0.125
0.166 0.512 0.488
0.488 0.834 0.166
0.512 0.166 0.834
0.834 0.488 0.512
0.000 0.000 0.500
0.500 0.500 0.000
0.500 0.500 0.500
```

Summary:
calculated volume	13.9	Å³ per atom
E_form (uncorrected)	-0.312	eV per atom
uncorrected energy	-5.00	eV/atom
SG	Fmmm (69)

***

[4]
Here is crystalline Th6Ir3Ru2Se at its relaxed geometry from the Alexandria database. Energies are from PBE-GGA.

```
Th6Ir3Ru2Se
1.0
8.965 -2.049 0.000
8.965 2.049 0.000
-1.888 0.000 8.217
Th Ir Ru Se
6 3 2 1
direct
0.006 0.006 0.269
0.325 0.325 0.908
0.333 0.333 0.417
0.667 0.667 0.583
0.675 0.675 0.092
0.994 0.994 0.731
0.160 0.160 0.834
0.500 0.500 0.500
0.840 0.840 0.166
0.166 0.166 0.331
0.834 0.834 0.669
0.500 0.500 0.000
```

Summary:
calculated volume	25.2	Å³ per atom
E_form (uncorrected)	-0.873	eV per atom
uncorrected energy	-8.63	eV/atom
SG	C2/m (12)